HgBiIO2 at its PBEsol-relaxed geometry. Source: the Alexandria database, functional meta-GGA SCAN.

a b c (Å): 4.269 4.269 6.550
angles (deg): 90.00 90.00 90.00
Fractional coordinates of all 5 atoms:
Hg (0.000, 0.000, 0.000)
Bi (0.500, 0.500, 0.500)
I (0.500, 0.500, 0.000)
O (0.000, 0.500, 0.500)
O (0.500, 0.000, 0.500)

* total moment: 0.00 Bohr magnetons per cell
* raw total energy: -39.36 eV/atom

***

CaB3H5O8 at its PBEsol-relaxed geometry. Source: the Alexandria database, functional meta-GGA SCAN.

a b c (Å): 6.041 11.082 8.654
angles (deg): 90.00 109.60 90.00
Fractional coordinates of all 68 atoms:
Ca (0.137, 0.000, 0.377)
Ca (0.347, 0.415, 0.111)
Ca (0.653, 0.915, 0.889)
Ca (0.863, 0.500, 0.623)
B (0.036, 0.653, 0.028)
B (0.119, 0.038, 0.780)
B (0.238, 0.417, 0.417)
B (0.254, 0.985, 0.072)
B (0.385, 0.372, 0.716)
B (0.463, 0.755, 0.479)
B (0.537, 0.255, 0.521)
B (0.615, 0.872, 0.284)
B (0.746, 0.485, 0.928)
B (0.762, 0.917, 0.583)
B (0.881, 0.538, 0.220)
B (0.964, 0.153, 0.972)
H (0.016, 0.264, 0.169)
H (0.072, 0.732, 0.551)
H (0.120, 0.730, 0.323)
H (0.193, 0.278, 0.833)
H (0.204, 0.706, 0.734)
H (0.302, 0.133, 0.658)
H (0.383, 0.591, 0.564)
H (0.383, 0.684, 0.181)
H (0.417, 0.678, 0.955)
H (0.461, 0.169, 0.193)
H (0.539, 0.669, 0.807)
H (0.583, 0.178, 0.045)
H (0.617, 0.091, 0.436)
H (0.617, 0.184, 0.819)
H (0.698, 0.633, 0.342)
H (0.796, 0.206, 0.266)
H (0.807, 0.778, 0.167)
H (0.880, 0.230, 0.677)
H (0.928, 0.232, 0.449)
H (0.984, 0.764, 0.831)
O (0.038, 0.266, 0.060)
O (0.041, 0.696, 0.649)
O (0.052, 0.155, 0.833)
O (0.059, 0.047, 0.081)
O (0.092, 0.462, 0.273)
O (0.208, 0.781, 0.422)
O (0.220, 0.440, 0.569)
O (0.224, 0.051, 0.654)
O (0.265, 0.361, 0.834)
O (0.295, 0.634, 0.081)
O (0.296, 0.978, 0.927)
O (0.398, 0.943, 0.221)
O (0.424, 0.351, 0.402)
O (0.442, 0.255, 0.659)
O (0.455, 0.721, 0.861)
O (0.479, 0.137, 0.437)
O (0.521, 0.637, 0.563)
O (0.545, 0.221, 0.139)
O (0.558, 0.755, 0.341)
O (0.576, 0.851, 0.598)
O (0.602, 0.443, 0.779)
O (0.704, 0.478, 0.073)
O (0.705, 0.134, 0.919)
O (0.735, 0.861, 0.166)
O (0.776, 0.551, 0.346)
O (0.780, 0.940, 0.431)
O (0.792, 0.281, 0.578)
O (0.908, 0.962, 0.727)
O (0.941, 0.547, 0.919)
O (0.948, 0.655, 0.167)
O (0.959, 0.196, 0.351)
O (0.962, 0.766, 0.940)

* total moment: 0.00 Bohr magnetons per cell
* raw total energy: -7.92 eV/atom

***

CsLaP3 at its PBEsol-relaxed geometry. Source: the Alexandria database, functional meta-GGA SCAN.

a b c (Å): 5.171 5.171 5.171
angles (deg): 90.00 90.00 90.00
Fractional coordinates of all 5 atoms:
Cs (0.000, 0.000, 0.000)
La (0.500, 0.500, 0.500)
P (0.000, 0.000, 0.500)
P (0.000, 0.500, 0.000)
P (0.500, 0.000, 0.000)

* E_form: 1.0222 eV/atom
* total moment: 0.00 Bohr magnetons per cell